[1]
La3MnPb | PBE | optimized geometry

Output
- M_tot: 0.00 μB per formula unit
- Calculated formation energy: -0.220 eV/atom

a = 5.259 Å, b = 5.259 Å, c = 5.259 Å
α = 90.00°, β = 90.00°, γ = 90.00°
Element x y z (fractional)
Pb (0.500, 0.500, 0.500)
Mn (0.000, 0.000, 0.000)
La (0.000, 0.500, 0.000)
La (0.000, 0.000, 0.500)
La (0.500, 0.000, 0.000)

***

[2]
LaMnPb2 | PBE | optimized geometry

Output
- M_tot: 4.34 μB per formula unit
- Energy above the most stable polymorph in this dataset: 223 meV/atom
- Calculated formation energy: 0.102 eV/atom

a = 10.207 Å, b = 10.207 Å, c = 10.207 Å
α = 20.07°, β = 20.07°, γ = 20.07°
Site moments in Bohr magnetons follow the coordinates.
Element x y z (fractional)
La (0.250, 0.250, 0.250)  -0.20
Mn (0.750, 0.750, 0.750)  -3.89
Pb (0.012, 0.012, 0.012)  0.05
Pb (0.488, 0.488, 0.488)  0.05

***

[3]
LaMnPb2 | PBE | optimized geometry

Output
- M_tot: 3.91 μB per formula unit
- Energy above the most stable polymorph in this dataset: 83 meV/atom
- Calculated formation energy: -0.038 eV/atom

a = 6.123 Å, b = 6.123 Å, c = 6.123 Å
α = 135.68°, β = 135.68°, γ = 64.47°
Site moments in Bohr magnetons follow the coordinates.
Element x y z (fractional)
La (0.500, 0.500, 0.000)  -0.09
Mn (0.750, 0.250, 0.500)  4.01
Pb (0.000, 0.000, 0.000)  -0.03
Pb (0.250, 0.750, 0.500)  -0.07

***

[4]
La2MnPb2 | PBE | optimized geometry

Output
- M_tot: 0.34 μB per formula unit
- Calculated formation energy: 0.043 eV/atom

a = 7.491 Å, b = 7.491 Å, c = 5.018 Å
α = 90.00°, β = 90.00°, γ = 90.00°
Site moments in Bohr magnetons follow the coordinates.
Element x y z (fractional)
Pb (0.353, 0.853, 0.000)  0.01
Pb (0.853, 0.647, 0.000)  0.01
Pb (0.647, 0.147, 0.000)  0.01
Pb (0.147, 0.353, 0.000)  0.01
Mn (0.000, 0.000, 0.000)  -0.20
Mn (0.500, 0.500, 0.000)  -0.20
La (0.170, 0.670, 0.500)  0.09
La (0.670, 0.830, 0.500)  0.09
La (0.830, 0.330, 0.500)  0.09
La (0.330, 0.170, 0.500)  0.09

***

[5]
LaMnPb2 | PBE | optimized geometry

Output
- M_tot: 4.35 μB per formula unit
- Energy above the most stable polymorph in this dataset: 110 meV/atom
- Calculated formation energy: -0.010 eV/atom

a = 3.809 Å, b = 3.809 Å, c = 7.596 Å
α = 90.00°, β = 90.00°, γ = 99.18°
Site moments in Bohr magnetons follow the coordinates.
Element x y z (fractional)
La (0.500, 0.500, 0.250)  0.16
Mn (0.500, 0.500, 0.750)  3.86
Pb (0.000, 0.000, 0.959)  -0.05
Pb (0.000, 0.000, 0.541)  -0.05

***

[6]
LaMnPb2 | PBE | optimized geometry

Output
- M_tot: 3.00 μB per formula unit
- Energy above the most stable polymorph in this dataset: 191 meV/atom
- Calculated formation energy: 0.070 eV/atom

a = 4.109 Å, b = 4.943 Å, c = 6.116 Å
α = 66.08°, β = 90.00°, γ = 90.00°
Site moments in Bohr magnetons follow the coordinates.
Element x y z (fractional)
La (0.000, 0.507, 0.612)  0.22
Mn (0.500, 0.970, 0.685)  -3.44
Pb (0.000, 0.797, 0.031)  0.07
Pb (0.500, 0.227, 0.172)  0.03

***

[7]
La2MnPb | PBE | optimized geometry

Output
- M_tot: 2.84 μB per formula unit
- Calculated formation energy: -0.154 eV/atom

a = 4.637 Å, b = 4.402 Å, c = 6.399 Å
α = 69.96°, β = 90.00°, γ = 90.00°
Site moments in Bohr magnetons follow the coordinates.
Element x y z (fractional)
La (0.000, 0.978, 0.919)  0.16
La (0.500, 0.268, 0.338)  0.22
Mn (0.000, 0.699, 0.476)  -3.65
Pb (0.500, 0.554, 0.767)  0.01

***

[8]
La5MnPb3 | PBE | optimized geometry

Output
- M_tot: 2.50 μB per formula unit
- Calculated formation energy: -0.372 eV/atom

a = 9.796 Å, b = 9.796 Å, c = 6.996 Å
α = 90.00°, β = 90.00°, γ = 120.00°
Site moments in Bohr magnetons follow the coordinates.
Element x y z (fractional)
La (0.743, 0.743, 0.250)  -0.12
La (0.257, 0.000, 0.250)  -0.12
La (0.000, 0.257, 0.250)  -0.12
La (0.257, 0.257, 0.750)  -0.12
La (0.743, 0.000, 0.750)  -0.12
La (0.000, 0.743, 0.750)  -0.12
La (0.667, 0.333, 0.500)  -0.11
La (0.333, 0.667, 0.500)  -0.11
La (0.333, 0.667, 0.000)  -0.11
La (0.667, 0.333, 0.000)  -0.11
Mn (0.000, 0.000, 0.500)  3.41
Mn (0.000, 0.000, 0.000)  3.41
Pb (0.388, 0.388, 0.250)  0.05
Pb (0.612, 0.000, 0.250)  0.05
Pb (0.000, 0.612, 0.250)  0.05
Pb (0.612, 0.612, 0.750)  0.05
Pb (0.388, 0.000, 0.750)  0.05
Pb (0.000, 0.388, 0.750)  0.05

***

[9]
La2MnPb | PBE | optimized geometry

Output
- M_tot: 1.32 μB per formula unit
- Calculated formation energy: 0.111 eV/atom

a = 5.334 Å, b = 5.334 Å, c = 5.334 Å
α = 60.00°, β = 60.00°, γ = 60.00°
Site moments in Bohr magnetons follow the coordinates.
Element x y z (fractional)
La (0.000, 0.000, 0.000)  0.52
La (0.250, 0.250, 0.250)  0.58
Mn (0.500, 0.500, 0.500)  -3.34
Pb (0.750, 0.750, 0.750)  0.06

***

[10]
LaMnPb2 | PBE | optimized geometry

Output
- M_tot: 3.35 μB per formula unit
- Energy above the most stable polymorph in this dataset: 210 meV/atom
- Calculated formation energy: 0.089 eV/atom

a = 3.818 Å, b = 3.818 Å, c = 7.557 Å
α = 90.00°, β = 90.00°, γ = 90.00°
Site moments in Bohr magnetons follow the coordinates.
Element x y z (fractional)
La (0.000, 0.000, 0.525)  -0.20
Mn (0.500, 0.500, 0.791)  3.69
Pb (0.000, 0.000, 0.964)  -0.08
Pb (0.500, 0.500, 0.220)  0.01

***

[11]
LaMnPb2 | PBE | optimized geometry

Output
- M_tot: 2.85 μB per formula unit
- Energy above the most stable polymorph in this dataset: 142 meV/atom
- Calculated formation energy: 0.022 eV/atom

a = 6.257 Å, b = 6.257 Å, c = 6.257 Å
α = 147.39°, β = 123.88°, γ = 66.44°
Site moments in Bohr magnetons follow the coordinates.
Element x y z (fractional)
La (0.750, 0.250, 0.500)  -0.29
Mn (0.250, 0.750, 0.500)  3.50
Pb (0.032, 0.032, 0.000)  -0.06
Pb (0.468, 0.468, 0.000)  -0.06

***

[12]
LaMnPb2 | PBE | optimized geometry

Output
- M_tot: 0.00 μB per formula unit
- Energy above the most stable polymorph in this dataset: 467 meV/atom
- Calculated formation energy: 0.347 eV/atom

a = 5.163 Å, b = 5.163 Å, c = 5.163 Å
α = 60.00°, β = 60.00°, γ = 60.00°
Element x y z (fractional)
Pb (0.250, 0.250, 0.250)
Pb (0.750, 0.750, 0.750)
Mn (0.000, 0.000, 0.000)
La (0.500, 0.500, 0.500)

***

[13]
LaMnPb2 | PBE | optimized geometry

Output
- M_tot: 4.08 μB per formula unit
- Energy above the most stable polymorph in this dataset: 317 meV/atom
- Calculated formation energy: 0.197 eV/atom

a = 5.107 Å, b = 5.107 Å, c = 10.415 Å
α = 75.81°, β = 75.81°, γ = 90.00°
Site moments in Bohr magnetons follow the coordinates.
Element x y z (fractional)
Pb (0.547, 0.125, 0.250)  -0.03
Pb (0.203, 0.625, 0.250)  -0.03
Pb (0.375, 0.453, 0.750)  -0.01
Pb (0.875, 0.797, 0.750)  -0.01
Mn (0.500, 0.500, 0.000)  3.85
Mn (0.250, 0.750, 0.500)  3.85
La (0.000, 0.000, 0.000)  -0.02
La (0.750, 0.250, 0.500)  -0.02

***

[14]
La2MnPb | PBE | optimized geometry

Output
- M_tot: 3.63 μB per formula unit
- Calculated formation energy: 0.068 eV/atom

a = 3.597 Å, b = 3.597 Å, c = 9.042 Å
α = 90.00°, β = 90.00°, γ = 90.06°
Site moments in Bohr magnetons follow the coordinates.
Element x y z (fractional)
La (0.000, 0.000, 0.966)  -0.03
La (0.500, 0.500, 0.307)  0.15
Mn (0.000, 0.000, 0.524)  -3.68
Pb (0.500, 0.500, 0.703)  0.03

***

[15]
LaMnPb2 | PBE | optimized geometry

Output
- M_tot: 3.29 μB per formula unit
- Energy above the most stable polymorph in this dataset: 0 meV/atom
- Calculated formation energy: -0.120 eV/atom

a = 4.761 Å, b = 4.761 Å, c = 6.274 Å
α = 68.58°, β = 68.58°, γ = 58.37°
Site moments in Bohr magnetons follow the coordinates.
Element x y z (fractional)
La (0.750, 0.750, 0.750)  -0.11
Mn (0.250, 0.250, 0.250)  3.57
Pb (0.977, 0.977, 0.069)  -0.09
Pb (0.523, 0.523, 0.431)  -0.09

***

[16]
La2MnPb | PBE | optimized geometry

Output
- M_tot: 3.19 μB per formula unit
- Calculated formation energy: -0.096 eV/atom

a = 5.021 Å, b = 5.021 Å, c = 4.572 Å
α = 90.00°, β = 90.00°, γ = 90.00°
Site moments in Bohr magnetons follow the coordinates.
Element x y z (fractional)
La (0.000, 0.000, 0.000)  -0.22
La (0.500, 0.500, 0.000)  -0.22
Mn (0.500, 0.000, 0.500)  3.78
Pb (0.000, 0.500, 0.500)  -0.01

***

[17]
La2MnPb | PBE | optimized geometry

Output
- M_tot: 2.65 μB per formula unit
- Calculated formation energy: -0.090 eV/atom

a = 3.621 Å, b = 3.656 Å, c = 9.492 Å
α = 67.09°, β = 90.00°, γ = 90.00°
Site moments in Bohr magnetons follow the coordinates.
Element x y z (fractional)
La (0.000, 0.967, 0.030)  -0.25
La (0.000, 0.533, 0.470)  -0.25
Mn (0.500, 0.250, 0.250)  3.46
Pb (0.500, 0.750, 0.750)  0.03

***

[18]
La2MnPb | PBE | optimized geometry

Output
- M_tot: 3.52 μB per formula unit
- Calculated formation energy: -0.103 eV/atom

a = 6.300 Å, b = 6.300 Å, c = 4.978 Å
α = 66.72°, β = 66.72°, γ = 39.65°
Site moments in Bohr magnetons follow the coordinates.
Element x y z (fractional)
La (0.989, 0.989, 0.011)  -0.15
La (0.768, 0.768, 0.732)  -0.09
Mn (0.529, 0.529, 0.471)  3.73
Pb (0.214, 0.214, 0.285)  0.01

***

[19]
LaMnPb4 | PBE | optimized geometry

Output
- M_tot: 4.49 μB per formula unit
- Calculated formation energy: 0.212 eV/atom

a = 6.427 Å, b = 6.427 Å, c = 6.427 Å
α = 60.00°, β = 60.00°, γ = 60.00°
Site moments in Bohr magnetons follow the coordinates.
Element x y z (fractional)
La (0.750, 0.750, 0.750)  -0.03
Mn (0.000, 0.000, 0.000)  4.30
Pb (0.874, 0.375, 0.375)  -0.02
Pb (0.375, 0.375, 0.874)  -0.02
Pb (0.375, 0.874, 0.375)  -0.02
Pb (0.375, 0.375, 0.375)  -0.02

***

[20]
LaMnPb2 | PBE | optimized geometry

Output
- M_tot: 3.96 μB per formula unit
- Energy above the most stable polymorph in this dataset: 261 meV/atom
- Calculated formation energy: 0.140 eV/atom

a = 5.418 Å, b = 5.418 Å, c = 5.418 Å
α = 60.00°, β = 60.00°, γ = 60.00°
Site moments in Bohr magnetons follow the coordinates.
Element x y z (fractional)
La (0.500, 0.500, 0.500)  -0.09
Mn (0.750, 0.750, 0.750)  3.93
Pb (0.000, 0.000, 0.000)  -0.03
Pb (0.250, 0.250, 0.250)  -0.02